{"formula": "ErLu2Hf", "functional": "PBE", "state": "relaxed", "vol_a3_per_cell": 111, "crystal_system": "cubic", "total_energy_ev_per_cell": -22.5, "sg": "Fm-3m", "lattice_angstrom": [[-1.8795, 3.4275, 3.7119], [-5.2458, 0.0187, 1.2408], [-1.6434, -1.8490, 4.7894]], "species": ["Er", "Lu", "Lu", "Hf"], "fractional_positions": [[0.0000, 0.0000, 0.0000], [0.7500, 0.7500, 0.7500], [0.2500, 0.2500, 0.2500], [0.5000, 0.5000, 0.5000]]}